Record 1
LiTm3Tl4: relaxed, GGA-PBE.

Results
The value obtained for the total DFT energy (no corrections) is -3.392 eV per atom. Its density of states at the Fermi level is 4.48 states/eV/cell. The calculation puts the relative energy among the computed polymorphs at 0.00 eV per formula unit. The space group is R-3m. Its energy relative to the elements is -0.29 eV/atom.

abc: 5.194 5.194 9.216
angles: 73.63 73.63 60.00
Element x y z (fractional)
Tm (0.254, 0.254, 0.239)
Tl (0.627, 0.627, 0.118)
Tl (0.123, 0.123, 0.632)
Tm (0.746, 0.746, 0.761)
Tm (0.500, 0.500, 0.500)
Tl (0.373, 0.373, 0.882)
Tl (0.877, 0.877, 0.368)
Li (0.000, 0.000, 0.000)



Record 2
La6NdYTh2: relaxed, GGA-PBE.

Results
The value obtained for the total DFT energy (no corrections) is -5.432 eV per atom. Its density of states at the Fermi level is 32.01 states/eV/cell. The space group is C2/c. Its energy relative to the elements is 0.13 eV/atom.

abc: 10.686 8.829 8.829
angles: 118.04 97.29 97.29
Element x y z (fractional)
Nd (0.250, 0.990, 0.010)
La (0.617, 0.491, 0.688)
Y (0.750, 0.598, 0.402)
Th (0.044, 0.266, 0.183)
La (0.117, 0.688, 0.491)
Y (0.250, 0.402, 0.598)
Th (0.544, 0.183, 0.266)
La (0.883, 0.312, 0.509)
La (0.956, 0.895, 0.257)
La (0.831, 0.437, 0.986)
La (0.456, 0.257, 0.895)
Th (0.956, 0.734, 0.817)
Nd (0.750, 0.010, 0.990)
La (0.544, 0.743, 0.105)
La (0.669, 0.014, 0.563)
La (0.169, 0.563, 0.014)
La (0.383, 0.509, 0.312)
Th (0.456, 0.817, 0.734)
La (0.044, 0.105, 0.743)
La (0.331, 0.986, 0.437)



Record 3
MoP2Br: relaxed, GGA-PBE.

Results
The value obtained for the total DFT energy (no corrections) is -5.133 eV per atom. Its density of states at the Fermi level is 2.52 states/eV/cell. The calculation puts the relative energy among the computed polymorphs at 3.25 eV per formula unit. The value obtained for the energy relative to the elements, uncorrected is 0.698 eV per atom. The space group is C2/m.

abc: 5.685 4.676 3.298
angles: 78.19 75.91 121.47
Element x y z (fractional)
Mo (0.500, 0.500, 0.000)
Br (0.000, 0.500, 0.500)
P (0.500, 0.000, 0.500)
P (0.000, 0.000, 0.000)



Record 4
DyInHg: relaxed, GGA-PBE.

Results
The value obtained for the total DFT energy (no corrections) is -2.868 eV per atom. Its density of states at the Fermi level is 1.93 states/eV/cell. The space group is I4mm. Its energy relative to the elements is -0.32 eV/atom.

abc: 3.609 3.609 6.393
angles: 106.40 106.40 90.00
Element x y z (fractional)
Dy (0.944, 0.944, 0.888)
In (0.623, 0.623, 0.247)
Hg (0.283, 0.283, 0.565)



Record 5
YCl: relaxed, GGA-PBE.

Results
The value obtained for the total DFT energy (no corrections) is -5.042 eV per atom. Its density of states at the Fermi level is 1.45 states/eV/cell. The value obtained for the energy relative to the elements, uncorrected is -0.887 eV per atom. The space group is Pm-3m.

abc: 3.504 3.504 3.504
angles: 90.00 90.00 90.00
Element x y z (fractional)
Cl (0.000, 0.000, 0.000)
Y (0.500, 0.500, 0.500)



Record 6
AcCu2AgH6: relaxed, GGA-PBE.

Results
The value obtained for the total DFT energy (no corrections) is -3.574 eV per atom. Its density of states at the Fermi level is 1.01 states/eV/cell. The space group is R-3m.

abc: 4.742 4.742 6.082
angles: 67.06 67.06 60.00
Element x y z (fractional)
H (0.922, 0.434, 0.211)
H (0.434, 0.922, 0.211)
H (0.566, 0.078, 0.789)
Ag (0.500, 0.500, 0.500)
Ac (0.000, 0.000, 0.000)
Cu (0.785, 0.785, 0.646)
H (0.566, 0.566, 0.789)
H (0.434, 0.434, 0.211)
H (0.078, 0.566, 0.789)
Cu (0.215, 0.215, 0.354)



Record 7
PtPbSe: relaxed, GGA-PBE.

Results
The value obtained for the total DFT energy (no corrections) is -4.605 eV per atom. Its density of states at the Fermi level is 1.37 states/eV/cell. The value obtained for the energy relative to the elements, uncorrected is -0.194 eV per atom. The space group is F-43m.

abc: 4.655 4.655 4.655
angles: 60.00 60.00 60.00
Element x y z (fractional)
Pt (0.250, 0.250, 0.250)
Pb (0.500, 0.500, 0.500)
Se (0.000, 0.000, 0.000)



Record 8
LiLaGdTc: relaxed, GGA-PBE.

Results
The value obtained for the total DFT energy (no corrections) is -7.781 eV per atom. Its density of states at the Fermi level is 3.63 states/eV/cell. The space group is F-43m. Its energy relative to the elements is 0.04 eV/atom.

abc: 5.056 5.056 5.056
angles: 60.00 60.00 60.00
Element x y z (fractional)
Gd (0.750, 0.750, 0.750)
La (0.250, 0.250, 0.250)
Li (0.000, 0.000, 0.000)
Tc (0.500, 0.500, 0.500)



Record 9
CaAcGe: relaxed, GGA-PBE.

Results
The value obtained for the total DFT energy (no corrections) is -3.927 eV per atom. Its density of states at the Fermi level is 9.01 states/eV/cell. The calculation puts the relative energy among the computed polymorphs at 0.61 eV per formula unit. The space group is Pnma. Its energy relative to the elements is -0.35 eV/atom.

abc: 3.653 8.525 12.032
angles: 90.00 90.00 90.00
Element x y z (fractional)
Ac (0.250, 0.158, 0.094)
Ca (0.750, 0.912, 0.631)
Ge (0.750, 0.368, 0.302)
Ac (0.750, 0.842, 0.906)
Ac (0.750, 0.342, 0.594)
Ca (0.250, 0.588, 0.131)
Ac (0.250, 0.658, 0.406)
Ge (0.250, 0.632, 0.698)
Ge (0.750, 0.868, 0.198)
Ca (0.250, 0.088, 0.369)
Ge (0.250, 0.132, 0.802)
Ca (0.750, 0.412, 0.869)



Record 10
SrCaSi2: relaxed, GGA-PBE.

Results
The value obtained for the total DFT energy (no corrections) is -3.913 eV per atom. Its density of states at the Fermi level is 1.25 states/eV/cell. The calculation puts the relative energy among the computed polymorphs at 0.86 eV per formula unit. The value obtained for the energy relative to the elements, uncorrected is -0.281 eV per atom. The space group is P4/mmm.

abc: 3.933 3.933 6.660
angles: 90.00 90.00 90.00
Element x y z (fractional)
Ca (0.500, 0.500, 0.750)
Si (0.000, 0.000, 0.930)
Si (0.000, 0.000, 0.570)
Sr (0.500, 0.500, 0.250)



Record 11
TcAuI3: relaxed, GGA-PBE.

Results
The value obtained for the total DFT energy (no corrections) is -3.013 eV per atom. Its density of states at the Fermi level is 3.16 states/eV/cell. The calculation puts the relative energy among the computed polymorphs at 0.00 eV per formula unit. The value obtained for the energy relative to the elements, uncorrected is 0.646 eV per atom. The space group is Pm-3m.

abc: 5.448 5.448 5.448
angles: 90.00 90.00 90.00
Element x y z (fractional)
I (0.000, 0.000, 0.500)
Au (0.500, 0.500, 0.500)
I (0.500, 0.000, 0.000)
I (0.000, 0.500, 0.000)
Tc (0.000, 0.000, 0.000)



Record 12
Rb4N3Cl4: relaxed, GGA-PBE.

Results
The value obtained for the total DFT energy (no corrections) is -3.407 eV per atom. Its density of states at the Fermi level is 3.22 states/eV/cell. The value obtained for the energy relative to the elements, uncorrected is -0.114 eV per atom. The space group is P1.

abc: 6.357 4.396 17.384
angles: 87.27 85.74 134.45
Element x y z (fractional)
Cl (0.894, 0.031, 0.783)
Rb (0.668, 0.365, 0.312)
N (0.969, 0.090, 0.684)
N (0.161, 0.349, 0.327)
Rb (0.455, 0.089, 0.691)
Cl (0.564, 0.223, 0.503)
Rb (0.294, 0.302, 0.957)
N (0.792, 0.305, 0.957)
Cl (0.220, 0.441, 0.227)
Rb (0.063, 0.223, 0.503)
Cl (0.719, 0.180, 0.056)



Record 13
CeSO6: relaxed, GGA-PBE.

Results
The value obtained for the total DFT energy (no corrections) is -6.346 eV per atom. Its density of states at the Fermi level is 4.26 states/eV/cell. The value obtained for the energy relative to the elements, uncorrected is -1.370 eV per atom. The space group is R-3m.

abc: 4.395 4.395 4.394
angles: 99.24 99.24 99.26
Element x y z (fractional)
O (0.564, 0.228, 0.228)
Ce (0.000, 0.000, 0.000)
O (0.772, 0.436, 0.772)
O (0.436, 0.772, 0.772)
S (0.500, 0.500, 0.500)
O (0.772, 0.772, 0.436)
O (0.228, 0.564, 0.228)
O (0.228, 0.228, 0.564)



Record 14
Ce12ZnGa3: relaxed, GGA-PBE.

Results
The value obtained for the total DFT energy (no corrections) is -5.288 eV per atom. Its density of states at the Fermi level is 45.85 states/eV/cell. The space group is P4/mmm. Its energy relative to the elements is -0.19 eV/atom.

abc: 4.641 4.641 18.510
angles: 90.00 90.00 90.00
Element x y z (fractional)
Ga (0.000, 0.000, 0.250)
Ga (0.000, 0.000, 0.750)
Ce (0.500, 0.000, 0.126)
Ce (0.500, 0.000, 0.625)
Ce (0.000, 0.500, 0.874)
Zn (0.000, 0.000, 0.000)
Ce (0.000, 0.500, 0.625)
Ce (0.500, 0.500, 0.752)
Ce (0.500, 0.500, 0.248)
Ce (0.000, 0.500, 0.126)
Ga (0.000, 0.000, 0.500)
Ce (0.500, 0.000, 0.874)
Ce (0.000, 0.500, 0.375)
Ce (0.500, 0.500, 0.000)
Ce (0.500, 0.000, 0.375)
Ce (0.500, 0.500, 0.500)



Record 15
Th4AlRu: relaxed, GGA-PBE.

Results
The value obtained for the total DFT energy (no corrections) is -7.164 eV per atom. Its density of states at the Fermi level is 7.31 states/eV/cell. The space group is I-4. Its energy relative to the elements is -0.05 eV/atom.

abc: 6.897 6.897 6.039
angles: 124.83 124.83 90.00
Element x y z (fractional)
Th (0.922, 0.386, 0.213)
Th (0.173, 0.078, 0.787)
Th (0.291, 0.827, 0.213)
Ru (0.500, 0.500, 0.000)
Th (0.614, 0.709, 0.787)
Al (0.750, 0.250, 0.500)



Record 16
ZnReNi: relaxed, GGA-PBE.

Results
The value obtained for the total DFT energy (no corrections) is -5.587 eV per atom. Its density of states at the Fermi level is 4.76 states/eV/cell. The calculation puts the relative energy among the computed polymorphs at 2.74 eV per formula unit. The space group is F-43m. Its energy relative to the elements is 0.91 eV/atom.

abc: 4.088 4.088 4.088
angles: 60.00 60.00 60.00
Element x y z (fractional)
Re (0.750, 0.750, 0.750)
Ni (0.500, 0.500, 0.500)
Zn (0.000, 0.000, 0.000)



Record 17
TbSmY3Sc: relaxed, GGA-PBE.

Results
The value obtained for the total DFT energy (no corrections) is -5.805 eV per atom. Its density of states at the Fermi level is 18.30 states/eV/cell. The space group is Cmcm. Its energy relative to the elements is 0.04 eV/atom.

abc: 4.978 7.898 9.991
angles: 90.00 90.00 108.37
Element x y z (fractional)
Sc (0.167, 0.334, 0.250)
Tb (0.000, 0.000, 0.000)
Y (0.333, 0.666, 0.501)
Y (0.667, 0.334, 0.001)
Sc (0.833, 0.666, 0.750)
Y (0.169, 0.338, 0.750)
Y (0.831, 0.662, 0.250)
Sm (0.497, 0.995, 0.750)
Y (0.333, 0.666, 0.999)
Y (0.667, 0.334, 0.499)
Tb (0.000, 0.000, 0.500)
Sm (0.503, 0.005, 0.250)



Record 18
Tb2TmSnC: relaxed, GGA-PBE.

Results
The value obtained for the total DFT energy (no corrections) is -6.020 eV per atom. Its density of states at the Fermi level is 2.10 states/eV/cell. The space group is P4/mmm. Its energy relative to the elements is -0.63 eV/atom.

abc: 4.813 4.921 4.921
angles: 90.00 90.00 90.00
Element x y z (fractional)
Tb (0.000, 0.000, 0.500)
C (0.000, 0.000, 0.000)
Tb (0.000, 0.500, 0.000)
Tm (0.500, 0.000, 0.000)
Sn (0.500, 0.500, 0.500)



Record 19
TaTeS2N: relaxed, GGA-PBE.

Results
The value obtained for the total DFT energy (no corrections) is -4.948 eV per atom. Its density of states at the Fermi level is 4.19 states/eV/cell. The calculation puts the relative energy among the computed polymorphs at 6.62 eV per formula unit. The value obtained for the energy relative to the elements, uncorrected is 1.367 eV per atom. The space group is P4/mmm.

abc: 5.071 5.071 3.842
angles: 90.00 90.00 90.00
Element x y z (fractional)
S (0.500, 0.000, 0.000)
Ta (0.500, 0.500, 0.500)
Te (0.000, 0.000, 0.000)
S (0.000, 0.500, 0.000)
N (0.000, 0.000, 0.500)



Record 20
Cu2Ni5Rh2: relaxed, GGA-PBE.

Results
The value obtained for the total DFT energy (no corrections) is -5.708 eV per atom. Its density of states at the Fermi level is 12.21 states/eV/cell. The calculation puts the relative energy among the computed polymorphs at 0.00 eV per formula unit. The space group is C2/m. Its energy relative to the elements is 0.05 eV/atom.

abc: 3.609 5.763 5.773
angles: 107.87 90.00 108.25
Element x y z (fractional)
Cu (0.885, 0.769, 0.326)
Ni (0.222, 0.444, 0.331)
Ni (0.778, 0.556, 0.669)
Rh (0.558, 0.115, 0.327)
Rh (0.442, 0.885, 0.673)
Cu (0.115, 0.231, 0.674)
Ni (0.330, 0.660, 0.001)
Ni (0.670, 0.340, 0.999)
Ni (0.000, 0.000, 0.000)



Record 21
FeCo2P: relaxed, GGA-PBE.

Results
The value obtained for the total DFT energy (no corrections) is -7.220 eV per atom. Its density of states at the Fermi level is 4.17 states/eV/cell. The space group is Immm. Its energy relative to the elements is -0.20 eV/atom.

abc: 4.683 4.683 4.683
angles: 146.40 130.03 61.57
Element x y z (fractional)
Fe (0.750, 0.250, 0.500)
P (0.250, 0.750, 0.500)
Co (0.469, 0.469, 0.000)
Co (0.031, 0.031, 0.000)



Record 22
K6Na12Zn: relaxed, GGA-PBE.

Results
The value obtained for the total DFT energy (no corrections) is -1.190 eV per atom. Its density of states at the Fermi level is 10.47 states/eV/cell. The space group is R-3. Its energy relative to the elements is 0.06 eV/atom.

abc: 9.649 9.649 9.649
angles: 97.07 97.07 97.07
Element x y z (fractional)
Na (0.222, 0.507, 0.452)
Na (0.665, 0.871, 0.941)
K (0.121, 0.301, 0.748)
K (0.252, 0.879, 0.699)
Na (0.548, 0.778, 0.493)
Zn (0.000, 0.000, 0.000)
K (0.879, 0.699, 0.252)
Na (0.129, 0.059, 0.335)
K (0.699, 0.252, 0.879)
Na (0.059, 0.335, 0.129)
Na (0.493, 0.548, 0.778)
K (0.748, 0.121, 0.301)
Na (0.778, 0.493, 0.548)
K (0.301, 0.748, 0.121)
Na (0.507, 0.452, 0.222)
Na (0.452, 0.222, 0.507)
Na (0.335, 0.129, 0.059)
Na (0.941, 0.665, 0.871)
Na (0.871, 0.941, 0.665)



Record 23
Sb3AuCl: relaxed, GGA-PBE.

Results
The value obtained for the total DFT energy (no corrections) is -2.961 eV per atom. Its density of states at the Fermi level is 8.16 states/eV/cell. The calculation puts the relative energy among the computed polymorphs at 2.65 eV per formula unit. The value obtained for the energy relative to the elements, uncorrected is 0.537 eV per atom. The space group is Pm-3m.

abc: 5.453 5.453 5.453
angles: 90.00 90.00 90.00
Element x y z (fractional)
Cl (0.500, 0.500, 0.500)
Sb (0.000, 0.500, 0.000)
Sb (0.500, 0.000, 0.000)
Au (0.000, 0.000, 0.000)
Sb (0.000, 0.000, 0.500)



Record 24
CsCS2Cl: relaxed, GGA-PBE.

Results
The value obtained for the total DFT energy (no corrections) is -3.480 eV per atom. Its density of states at the Fermi level is 2.29 states/eV/cell. The calculation puts the relative energy among the computed polymorphs at 0.00 eV per formula unit. The value obtained for the energy relative to the elements, uncorrected is 0.555 eV per atom. The space group is P4/mmm.

abc: 4.223 4.223 7.911
angles: 90.00 90.00 90.00
Element x y z (fractional)
Cl (0.000, 0.000, 0.500)
S (0.000, 0.500, 0.000)
S (0.500, 0.000, 0.000)
Cs (0.500, 0.500, 0.500)
C (0.000, 0.000, 0.000)



Record 25
Nd2HgAu: relaxed, GGA-PBE.

Results
The value obtained for the total DFT energy (no corrections) is -3.882 eV per atom. Its density of states at the Fermi level is 3.13 states/eV/cell. The calculation puts the relative energy among the computed polymorphs at 0.05 eV per formula unit. The space group is Fm-3m. Its energy relative to the elements is -0.60 eV/atom.

abc: 5.340 5.340 5.340
angles: 60.00 60.00 60.00
Element x y z (fractional)
Hg (0.000, 0.000, 0.000)
Au (0.500, 0.500, 0.500)
Nd (0.750, 0.750, 0.750)
Nd (0.250, 0.250, 0.250)